No. 1
# TbZnFe2H8 (PBE, relaxed)
# Magnetic moment = 0.001 μB per cell
# Electronic total energy = -47.7 eV/cell
# Crystal system = trigonal
data_TbZnFe2H8
_cell_length_a 4.4538
_cell_length_b 4.4538
_cell_length_c 6.3682
_cell_angle_alpha 90.00
_cell_angle_beta 90.00
_cell_angle_gamma 120.00
_symmetry_space_group_name_H-M 'P -3 m 1'
_symmetry_Int_Tables_number 164
_symmetry_space_group_name_Hall '-P 3 2"'
loop_
_atom_site_label
_atom_site_type_symbol
_atom_site_fract_x
_atom_site_fract_y
_atom_site_fract_z
Tb1 Tb 0.0000 0.0000 0.0000
Zn1 Zn 0.0000 0.0000 0.5000
Fe1 Fe 0.3333 0.6667 0.3377
H1 H 0.1457 0.2913 0.2817
H2 H 0.3333 0.6667 0.0915

=====

No. 2
# ErZnAu2 (PBE, relaxed)
# Magnetic moment = 0.000 μB per cell
# Energy relative to the elements = -0.524 eV per atom
# Electronic total energy = -14.5 eV/cell
# Crystal system = tetragonal
data_ErZnAu2
_cell_length_a 4.5635
_cell_length_b 4.5635
_cell_length_c 3.8376
_cell_angle_alpha 90.00
_cell_angle_beta 90.00
_cell_angle_gamma 90.00
_symmetry_space_group_name_H-M 'P 4/m m m'
_symmetry_Int_Tables_number 123
_symmetry_space_group_name_Hall '-P 4 2'
loop_
_atom_site_label
_atom_site_type_symbol
_atom_site_fract_x
_atom_site_fract_y
_atom_site_fract_z
Er1 Er 0.0000 0.0000 0.0000
Zn1 Zn 0.5000 0.5000 0.0000
Au1 Au 0.0000 0.5000 0.5000

=====

No. 3
# SmBi2OsO8 (PBE, relaxed)
# Magnetic moment = 0.000 μB per cell
# Energy relative to the elements, uncorrected = -1.557 eV/atom
# Electronic total energy = -82.1 eV/cell
# Crystal system = monoclinic
data_SmBi2OsO8
_cell_length_a 5.2499
_cell_length_b 6.7956
_cell_length_c 5.2561
_cell_angle_alpha 90.00
_cell_angle_beta 91.46
_cell_angle_gamma 90.00
_symmetry_space_group_name_H-M 'P 1 2/m 1'
_symmetry_Int_Tables_number 10
loop_
_symmetry_equiv_pos_as_xyz
'x,y,z'
'-x,-y,-z'
'-x,y,-z'
'x,-y,z'
loop_
_atom_site_label
_atom_site_type_symbol
_atom_site_fract_x
_atom_site_fract_y
_atom_site_fract_z
Sm1 Sm 0.0000 0.0000 0.0000
Bi1 Bi 0.5000 0.2521 0.5000
Os1 Os 0.0000 0.5000 0.0000
O1 O 0.1802 0.2854 0.1811
O2 O 0.2431 0.5000 0.7584
O3 O 0.3140 0.0000 0.6864

=====

No. 4
# YAlTc2Ru (PBE, relaxed)
# Magnetic moment = 2.133 μB per cell
# Energy relative to the elements = 0.650 eV per atom
# Electronic total energy = -37.0 eV/cell
# Crystal system = tetragonal
data_YAlTc2Ru
_cell_length_a 4.5805
_cell_length_b 4.5805
_cell_length_c 4.5310
_cell_angle_alpha 90.00
_cell_angle_beta 90.00
_cell_angle_gamma 90.00
_symmetry_space_group_name_H-M 'P 4/m m m'
_symmetry_Int_Tables_number 123
_symmetry_space_group_name_Hall '-P 4 2'
loop_
_atom_site_label
_atom_site_type_symbol
_atom_site_fract_x
_atom_site_fract_y
_atom_site_fract_z
Y1 Y 0.0000 0.0000 0.0000
Al1 Al 0.5000 0.5000 0.5000
Tc1 Tc 0.0000 0.5000 0.5000
Ru1 Ru 0.5000 0.5000 0.0000

=====

No. 5
# MgFe2PdW (PBE, relaxed)
# Magnetic moment = 2.848 μB per cell
# Energy relative to the elements = 1.108 eV per atom
# Electronic total energy = -31.1 eV/cell
# Offset from the most stable computed form = 0 meV/atom
# Crystal system = tetragonal
data_MgFe2PdW
_cell_length_a 4.4667
_cell_length_b 4.4667
_cell_length_c 4.9309
_cell_angle_alpha 90.00
_cell_angle_beta 90.00
_cell_angle_gamma 90.00
_symmetry_space_group_name_H-M 'P 4/m m m'
_symmetry_Int_Tables_number 123
_symmetry_space_group_name_Hall '-P 4 2'
loop_
_atom_site_label
_atom_site_type_symbol
_atom_site_fract_x
_atom_site_fract_y
_atom_site_fract_z
Mg1 Mg 0.0000 0.0000 0.0000
Fe1 Fe 0.0000 0.5000 0.5000
Pd1 Pd 0.5000 0.5000 0.0000
W1 W 0.5000 0.5000 0.5000

=====

No. 6
# As2PdO8 (PBE, relaxed)
# Magnetic moment = 3.714 μB per cell
# Energy relative to the elements, uncorrected = -0.485 eV/atom
# Electronic total energy = -119.0 eV/cell
# Crystal system = monoclinic
data_As2PdO8
_cell_length_a 8.5382
_cell_length_b 5.6815
_cell_length_c 5.8069
_cell_angle_alpha 90.00
_cell_angle_beta 99.52
_cell_angle_gamma 90.00
_symmetry_space_group_name_H-M 'C 1 2/m 1'
_symmetry_Int_Tables_number 12
loop_
_symmetry_equiv_pos_as_xyz
'x,y,z'
'-x,-y,-z'
'-x,y,-z'
'x,-y,z'
'x+1/2,y+1/2,z'
'-x+1/2,-y+1/2,-z'
'-x+1/2,y+1/2,-z'
'x+1/2,-y+1/2,z'
loop_
_atom_site_label
_atom_site_type_symbol
_atom_site_fract_x
_atom_site_fract_y
_atom_site_fract_z
As1 As 0.1150 0.0000 0.1980
Pd1 Pd 0.0000 0.5000 0.5000
O1 O 0.1080 0.0000 0.8868
O2 O 0.1312 0.2704 0.3460
O3 O 0.1648 0.5000 0.7805

=====

No. 7
# TlBiW2 (PBE, relaxed)
# Magnetic moment = 0.000 μB per cell
# Energy relative to the elements = 1.314 eV per atom
# Electronic total energy = -107.6 eV/cell
# Offset from the most stable computed form = 40 meV/atom
# Crystal system = cubic
data_TlBiW2
_cell_length_a 6.8084
_cell_length_b 6.8084
_cell_length_c 6.8084
_cell_angle_alpha 90.00
_cell_angle_beta 90.00
_cell_angle_gamma 90.00
_symmetry_space_group_name_H-M 'F m -3 m'
_symmetry_Int_Tables_number 225
_symmetry_space_group_name_Hall '-F 4 2 3'
loop_
_atom_site_label
_atom_site_type_symbol
_atom_site_fract_x
_atom_site_fract_y
_atom_site_fract_z
Tl1 Tl 0.0000 0.0000 0.0000
Bi1 Bi 0.0000 0.0000 0.5000
W1 W 0.2500 0.2500 0.2500

=====

No. 8
# RbNpCu2Te4 (PBE, relaxed)
# Magnetic moment = 7.161 μB per cell
# Energy relative to the elements, uncorrected = -0.201 eV/atom
# Electronic total energy = -72.6 eV/cell
# Crystal system = orthorhombic
data_RbNpCu2Te4
_cell_length_a 6.4164
_cell_length_b 8.5054
_cell_length_c 9.1739
_cell_angle_alpha 90.00
_cell_angle_beta 90.00
_cell_angle_gamma 90.00
_symmetry_space_group_name_H-M 'I 2 2 2'
_symmetry_Int_Tables_number 23
loop_
_symmetry_equiv_pos_as_xyz
'x,y,z'
'-x,-y,z'
'x,-y,-z'
'-x,y,-z'
'x+1/2,y+1/2,z+1/2'
'-x+1/2,-y+1/2,z+1/2'
'x+1/2,-y+1/2,-z+1/2'
'-x+1/2,y+1/2,-z+1/2'
loop_
_atom_site_label
_atom_site_type_symbol
_atom_site_fract_x
_atom_site_fract_y
_atom_site_fract_z
Rb1 Rb 0.0000 0.0000 0.0000
Np1 Np 0.0000 0.0000 0.5000
Cu1 Cu 0.0000 0.5000 0.1386
Te1 Te 0.2321 0.2158 0.2915

=====

No. 9
# La6Pr3Tl (PBE, relaxed)
# Magnetic moment = 0.000 μB per cell
# Energy relative to the elements = -0.006 eV per atom
# Electronic total energy = -185.3 eV/cell
# Offset from the most stable computed form = 17 meV/atom
# Crystal system = orthorhombic
data_La6Pr3Tl
_cell_length_a 10.1189
_cell_length_b 21.2872
_cell_length_c 6.5580
_cell_angle_alpha 90.00
_cell_angle_beta 90.00
_cell_angle_gamma 90.00
_symmetry_space_group_name_H-M 'C m c 21'
_symmetry_Int_Tables_number 36
loop_
_symmetry_equiv_pos_as_xyz
'x,y,z'
'-x,-y,z+1/2'
'-x,y,z'
'x,-y,z+1/2'
'x+1/2,y+1/2,z'
'-x+1/2,-y+1/2,z+1/2'
'-x+1/2,y+1/2,z'
'x+1/2,-y+1/2,z+1/2'
loop_
_atom_site_label
_atom_site_type_symbol
_atom_site_fract_x
_atom_site_fract_y
_atom_site_fract_z
La1 La 0.0000 0.0196 0.0000
La2 La 0.0000 0.2916 0.0333
La3 La 0.1871 0.4425 0.2713
La4 La 0.1877 0.2827 0.4822
Pr1 Pr 0.0000 0.4178 0.7416
Pr2 Pr 0.1691 0.1281 0.3423
Tl1 Tl 0.0000 0.1576 0.7783

=====

No. 10
# Ac6TbIn2 (PBE, relaxed)
# Magnetic moment = 0.000 μB per cell
# Energy relative to the elements = -0.169 eV per atom
# Electronic total energy = -72.6 eV/cell
# Crystal system = monoclinic
data_Ac6TbIn2
_cell_length_a 14.1022
_cell_length_b 4.0295
_cell_length_c 12.8636
_cell_angle_alpha 90.00
_cell_angle_beta 107.27
_cell_angle_gamma 90.00
_symmetry_space_group_name_H-M 'C 1 2/m 1'
_symmetry_Int_Tables_number 12
loop_
_symmetry_equiv_pos_as_xyz
'x,y,z'
'-x,-y,-z'
'-x,y,-z'
'x,-y,z'
'x+1/2,y+1/2,z'
'-x+1/2,-y+1/2,-z'
'-x+1/2,y+1/2,-z'
'x+1/2,-y+1/2,z'
loop_
_atom_site_label
_atom_site_type_symbol
_atom_site_fract_x
_atom_site_fract_y
_atom_site_fract_z
Ac1 Ac 0.0307 0.0000 0.3336
Ac2 Ac 0.1728 0.5000 0.8802
Ac3 Ac 0.1918 0.5000 0.5992
Tb1 Tb 0.0000 0.0000 0.0000
In1 In 0.1424 0.5000 0.1766

=====

| no. | calculated density (kg/m³) |
| --- | --- |
| 1 | 5223 |
| 2 | 13019 |
| 3 | 7853 |
| 4 | 7213 |
| 5 | 7195 |
| 6 | 4594 |
| 7 | 16438 |
| 8 | 6368 |
| 9 | 6867 |
| 10 | 8329 |